[1]
A relaxed structure of NaTaBO5, computed with GGA-PBE.

Lattice parameters (Å, degrees): 5.3714 5.3714 7.3972 106.40 106.40 102.44
With the nearest neighbours (Å) after each atom.
Element x y z (fractional)
O: 0.9252 0.0748 0.7500  2 Ta 1.95, 1 Na 2.18
O: 0.2448 0.3900 0.6176  1 B 1.48
O: 0.0748 0.9252 0.2500  2 Ta 1.95, 1 Na 2.18
O: 0.7552 0.6100 0.3824  1 B 1.48
O: 0.2895 0.8494 0.6223  1 B 1.49
O: 0.8494 0.2895 0.1223  1 B 1.49
O: 0.6100 0.7552 0.8824  1 B 1.48
O: 0.7105 0.1506 0.3777  1 B 1.49
O: 0.3900 0.2448 0.1176  1 B 1.48
O: 0.1506 0.7105 0.8777  1 B 1.49
B: 0.3198 0.6802 0.7500  4 O 1.48-1.49
B: 0.6802 0.3198 0.2500  4 O 1.48-1.49
Na: 0.6647 0.3353 0.7500  3 O 2.18-2.31
Na: 0.3353 0.6647 0.2500  3 O 2.18-2.31
Ta: 0.0000 0.0000 0.5000  6 O 1.95-2.01
Ta: 0.0000 0.0000 0.0000  6 O 1.95-2.01

Values from the calculation:
Its space group is No. 15. As for the density of states at the Fermi level: 7.00 states/eV per cell. As for the total energy: -7.825 eV per atom.

***

[2]
A relaxed structure of Cs2YAuS, computed with GGA-PBE.

Lattice parameters (Å, degrees): 7.2532 4.6471 7.2532 90.00 90.00 90.00
With the nearest neighbours (Å) after each atom.
Element x y z (fractional)
Cs: 0.5000 0.0000 0.0000  2 Au 3.63
Cs: 0.0000 0.0000 0.5000  2 Au 3.63
S: 0.0000 0.5000 0.0000  2 Au 2.32
Y: 0.5000 0.5000 0.5000  8 Cs 4.31, 2 Y 4.65
Au: 0.0000 0.0000 0.0000  2 S 2.32

Values from the calculation:
Its space group is No. 123. As for the density of states at the Fermi level: 5.06 states/eV per cell. As for the total energy: -2.855 eV per atom.